Here is a PBEsol-optimized structure of Rb3TlBi from Alexandria via LeMat-Bulk. Energies are from SCAN.

Structure (POSCAR):
```
Rb3TlBi
1.0
7.027 0.000 0.000
0.000 7.027 0.000
0.000 0.000 7.027
Rb Tl Bi
3 1 1
Direct
0.000 0.000 0.500
0.000 0.500 0.000
0.500 0.000 0.000
0.500 0.500 0.500
0.000 0.000 0.000
```

Summary:
E   -1.564 Ha/atom
SG   No. 221
DOS(E_F)   6.849 states/eV per cell
Volume   69.4 A^3/atom
Formation energy from the elements   1.44 kcal/mol of atoms
Size of the total moment   0.201 μB/atom